1.
Ac4PAuBr2 after structural relaxation, computed with PBE.

Results
SG ... P2/m
Total energy ... -4.778 eV/atom
Total moment ... 0.0 μB/f.u.

Cell: 7.9934 4.4364 8.0139 Å, 90.00 108.52 90.00°
Sites, in units of the cell vectors:
Ac 0.2297 0.0000 0.2181
Ac 0.2591 0.5000 0.7830
Ac 0.7409 0.5000 0.2170
Ac 0.7703 0.0000 0.7819
P 0.0000 0.5000 0.0000
Au 0.5000 0.0000 0.0000
Br 0.0000 0.0000 0.5000
Br 0.5000 0.5000 0.5000

***

2.
Ac4PdAuBr2 after structural relaxation, computed with PBE.

Results
SG ... P2/m
Total energy ... -4.588 eV/atom
Total moment ... 0.0 μB/f.u.

Cell: 7.7950 4.5649 8.4842 Å, 90.00 107.96 90.00°
Sites, in units of the cell vectors:
Ac 0.2304 0.0000 0.2046
Ac 0.2566 0.5000 0.7961
Ac 0.7434 0.5000 0.2039
Ac 0.7696 0.0000 0.7954
Pd 0.0000 0.5000 0.0000
Au 0.5000 0.0000 0.0000
Br 0.0000 0.0000 0.5000
Br 0.5000 0.5000 0.5000

***

3.
Ac6Pd2AuBr3 after structural relaxation, computed with PBE.

Results
SG ... C2/m
Total energy ... -4.679 eV/atom
Total moment ... 0.0 μB/f.u.

Cell: 7.8106 7.8106 8.5585 Å, 98.73 98.73 120.01°
Sites, in units of the cell vectors:
Ac 0.0929 0.4333 0.7990
Ac 0.2265 0.2265 0.2011
Ac 0.4333 0.0929 0.7990
Ac 0.5667 0.9071 0.2010
Ac 0.7735 0.7735 0.7989
Ac 0.9071 0.5667 0.2010
Pd 0.1667 0.8333 0.0000
Pd 0.8333 0.1667 0.0000
Au 0.5000 0.5000 0.0000
Br 0.0000 0.0000 0.5000
Br 0.3336 0.6664 0.5000
Br 0.6664 0.3336 0.5000

***

4.
AcPrAuBr after structural relaxation, computed with PBE.

Results
SG ... F-43m
Total energy ... -4.254 eV/atom
Total moment ... 0.0 μB/f.u.

Cell: 7.7422 7.7422 7.7422 Å, 90.00 90.00 90.00°
Sites, in units of the cell vectors:
Ac 0.0000 0.0000 0.0000
Ac 0.0000 0.5000 0.5000
Ac 0.5000 0.0000 0.5000
Ac 0.5000 0.5000 0.0000
Pr 0.0000 0.0000 0.5000
Pr 0.0000 0.5000 0.0000
Pr 0.5000 0.0000 0.0000
Pr 0.5000 0.5000 0.5000
Au 0.2500 0.2500 0.2500
Au 0.2500 0.7500 0.7500
Au 0.7500 0.2500 0.7500
Au 0.7500 0.7500 0.2500
Br 0.2500 0.2500 0.7500
Br 0.2500 0.7500 0.2500
Br 0.7500 0.2500 0.2500
Br 0.7500 0.7500 0.7500

***

5.
Ac6Rh2AuBr3 after structural relaxation, computed with PBE.

Results
SG ... C2/m
Total energy ... -5.102 eV/atom
Total moment ... 0.0 μB/f.u.

Cell: 7.6678 7.6678 8.6458 Å, 98.45 98.45 120.02°
Sites, in units of the cell vectors:
Ac 0.0853 0.4345 0.8030
Ac 0.2159 0.2159 0.1967
Ac 0.4345 0.0853 0.8030
Ac 0.5655 0.9147 0.1970
Ac 0.7841 0.7841 0.8033
Ac 0.9147 0.5655 0.1970
Rh 0.1666 0.8334 0.0000
Rh 0.8334 0.1666 0.0000
Au 0.5000 0.5000 0.0000
Br 0.0000 0.0000 0.5000
Br 0.3313 0.6687 0.5000
Br 0.6687 0.3313 0.5000

***

6.
Ac8Rh3AuBr3 after structural relaxation, computed with PBE.

Results
SG ... C2/m
Total energy ... -5.218 eV/atom
Total moment ... 0.0 μB/f.u.

Cell: 8.8442 8.8442 9.4658 Å, 117.91 117.91 60.07°
Sites, in units of the cell vectors:
Ac 0.2188 0.7428 0.7046
Ac 0.2334 0.2334 0.7010
Ac 0.2570 0.2570 0.2957
Ac 0.2572 0.7812 0.2954
Ac 0.7428 0.2188 0.7046
Ac 0.7430 0.7430 0.7043
Ac 0.7666 0.7666 0.2990
Ac 0.7812 0.2572 0.2954
Rh 0.0000 0.0000 0.5000
Rh 0.0000 0.5000 0.5000
Rh 0.5000 0.0000 0.5000
Au 0.5000 0.5000 0.5000
Br 0.0000 0.5000 0.0000
Br 0.5000 0.0000 0.0000
Br 0.5000 0.5000 0.0000

***

7.
Ac3RhAuBr after structural relaxation, computed with PBE.

Results
SG ... P2_1/m
Total energy ... -5.079 eV/atom
Total moment ... 0.0 μB/f.u.

Cell: 7.8800 4.3649 11.8995 Å, 90.00 91.21 90.00°
Sites, in units of the cell vectors:
Ac 0.0743 0.2500 0.2107
Ac 0.2222 0.7500 0.5062
Ac 0.3938 0.2500 0.7884
Ac 0.6062 0.7500 0.2116
Ac 0.7778 0.2500 0.4938
Ac 0.9257 0.7500 0.7893
Rh 0.0796 0.2500 0.6613
Rh 0.9204 0.7500 0.3387
Au 0.4191 0.2500 0.3499
Au 0.5809 0.7500 0.6501
Br 0.2526 0.7500 0.0000
Br 0.7474 0.2500 0.0000

***

8.
Ac8Ru3AuBr4 after structural relaxation, computed with PBE.

Results
SG ... R-3m
Total energy ... -5.346 eV/atom
Total moment ... 0.0 μB/f.u.

Cell: 9.6936 9.6936 9.6936 Å, 53.56 53.56 53.56°
Sites, in units of the cell vectors:
Ac 0.2147 0.7403 0.7403
Ac 0.2325 0.2325 0.2325
Ac 0.2597 0.2597 0.7853
Ac 0.2597 0.7853 0.2597
Ac 0.7403 0.2147 0.7403
Ac 0.7403 0.7403 0.2147
Ac 0.7675 0.7675 0.7675
Ac 0.7853 0.2597 0.2597
Ru 0.0000 0.0000 0.5000
Ru 0.0000 0.5000 0.0000
Ru 0.5000 0.0000 0.0000
Au 0.5000 0.5000 0.5000
Br 0.0000 0.0000 0.0000
Br 0.0000 0.5000 0.5000
Br 0.5000 0.0000 0.5000
Br 0.5000 0.5000 0.0000

***

9.
Ac4RuAuBr2 after structural relaxation, computed with PBE.

Results
SG ... P2/m
Total energy ... -5.034 eV/atom
Total moment ... 0.0 μB/f.u.

Cell: 7.7424 4.4212 8.6500 Å, 90.00 107.47 90.00°
Sites, in units of the cell vectors:
Ac 0.2198 0.0000 0.1967
Ac 0.2453 0.5000 0.8019
Ac 0.7547 0.5000 0.1981
Ac 0.7802 0.0000 0.8033
Ru 0.0000 0.5000 0.0000
Au 0.5000 0.0000 0.0000
Br 0.0000 0.0000 0.5000
Br 0.5000 0.5000 0.5000

***

10.
Ac4AuSe2Br after structural relaxation, computed with PBE.

Results
SG ... P2/m
Total energy ... -4.971 eV/atom
Total moment ... 0.0 μB/f.u.

Cell: 7.9001 4.3854 7.9929 Å, 90.00 108.31 90.00°
Sites, in units of the cell vectors:
Ac 0.2359 0.0000 0.2379
Ac 0.2379 0.5000 0.7460
Ac 0.7621 0.5000 0.2540
Ac 0.7641 0.0000 0.7621
Au 0.0000 0.0000 0.5000
Se 0.0000 0.5000 0.0000
Se 0.5000 0.0000 0.0000
Br 0.5000 0.5000 0.5000